1.
An optimized crystal structure of Ta2WC, computed with PBE-GGA.

Structure (POSCAR):
```
Ta2WC
1.0
9.185 0.000 0.000
0.000 2.947 0.000
-2.352 0.000 4.504
Ta W C
4 2 2
Direct
0.187 0.000 0.192 Ta
0.313 0.500 0.808 Ta
0.687 0.500 0.192 Ta
0.813 0.000 0.808 Ta
0.000 0.000 0.500 W
0.500 0.500 0.500 W
0.000 0.500 0.000 C
0.500 0.000 0.000 C
```

Properties
Symmetry   C2/m, No. 12
E_tot   -11.154 eV per atom
Energy relative to the elements   0.316 eV/atom

2.
An optimized crystal structure of Ta2WC, computed with PBE-GGA.

Structure (POSCAR):
```
Ta2WC
1.0
3.548 0.000 0.000
0.000 3.548 0.000
0.000 0.000 9.569
Ta W C
4 2 2
Direct
0.000 0.000 0.000 Ta
0.000 0.500 0.250 Ta
0.500 0.000 0.750 Ta
0.500 0.500 0.500 Ta
0.000 0.500 0.750 W
0.500 0.000 0.250 W
0.000 0.000 0.500 C
0.500 0.500 0.000 C
```

Properties
Symmetry   I-4m2, No. 119
E_tot   -10.499 eV per atom
Energy relative to the elements   0.971 eV/atom

3.
An optimized crystal structure of Ta2WC, computed with PBE-GGA.

Structure (POSCAR):
```
Ta2WC
1.0
2.920 0.000 0.000
0.000 4.916 0.000
0.000 0.000 8.362
Ta W C
4 2 2
Direct
0.000 0.000 0.000 Ta
0.000 0.500 0.184 Ta
0.500 0.000 0.684 Ta
0.500 0.500 0.500 Ta
0.000 0.500 0.817 W
0.500 0.000 0.317 W
0.000 0.000 0.496 C
0.500 0.500 0.996 C
```

Properties
Symmetry   Imm2, No. 44
E_tot   -11.214 eV per atom
Energy relative to the elements   0.257 eV/atom

4.
An optimized crystal structure of TaW2C, computed with PBE-GGA.

Structure (POSCAR):
```
TaW2C
1.0
4.209 0.000 0.000
0.000 4.209 0.000
0.000 0.000 3.247
Ta W C
1 2 1
Direct
0.000 0.000 0.000 Ta
0.000 0.500 0.500 W
0.500 0.000 0.500 W
0.500 0.500 0.000 C
```

Properties
Symmetry   P4/mmm, No. 123
E_tot   -10.547 eV per atom
Energy relative to the elements   1.199 eV/atom